Record 1
{
  "formula": "Ba3UO6",
  "functional": "PBE",
  "state": "relaxed",
  "lattice": [[5.343, 3.085, 4.202], [-5.343, 3.085, 4.202], [0.000, -6.169, 4.202]],
  "species": ["Ba", "Ba", "Ba", "Ba", "Ba", "Ba", "U", "U", "O", "O", "O", "O", "O", "O", "O", "O", "O", "O", "O", "O"],
  "frac_coords": [[0.054, 0.557, 0.752], [0.248, 0.946, 0.443], [0.443, 0.248, 0.946], [0.557, 0.752, 0.054], [0.752, 0.054, 0.557], [0.946, 0.443, 0.248], [0.000, 0.000, 0.000], [0.500, 0.500, 0.500], [0.042, 0.922, 0.731], [0.078, 0.269, 0.958], [0.230, 0.564, 0.441], [0.269, 0.958, 0.078], [0.436, 0.559, 0.770], [0.441, 0.230, 0.564], [0.559, 0.770, 0.436], [0.564, 0.441, 0.230], [0.731, 0.042, 0.922], [0.770, 0.436, 0.559], [0.922, 0.731, 0.042], [0.958, 0.078, 0.269]],
  "raw_formation_energy_ev_per_atom": -3.03,
  "total_energy_ev_per_atom": -7.71,
  "total_magnetization_mub_per_cell": 0.000
}

***

Record 2
{
  "formula": "Dy2TmPb9",
  "functional": "PBE",
  "state": "relaxed",
  "lattice": [[4.873, 0.000, 0.000], [0.000, 4.873, 0.000], [0.000, 0.000, 14.610]],
  "species": ["Dy", "Dy", "Tm", "Pb", "Pb", "Pb", "Pb", "Pb", "Pb", "Pb", "Pb", "Pb"],
  "frac_coords": [[0.000, 0.000, 0.166], [0.000, 0.000, 0.834], [0.000, 0.000, 0.500], [0.000, 0.500, 0.000], [0.000, 0.500, 0.334], [0.000, 0.500, 0.666], [0.500, 0.000, 0.000], [0.500, 0.000, 0.334], [0.500, 0.000, 0.666], [0.500, 0.500, 0.167], [0.500, 0.500, 0.500], [0.500, 0.500, 0.833]],
  "ef_mev_per_atom": -256,
  "total_energy_ev_per_atom": -4.18,
  "total_magnetization_mub_per_cell": 0.000
}

***

Record 3
{
  "formula": "LiZn11Cu",
  "functional": "PBE",
  "state": "relaxed",
  "lattice": [[2.531, -6.334, 0.000], [2.531, 6.334, 0.000], [-2.368, 0.000, 6.249]],
  "species": ["Li", "Zn", "Zn", "Zn", "Zn", "Zn", "Zn", "Zn", "Zn", "Zn", "Zn", "Zn", "Cu"],
  "frac_coords": [[0.000, 0.000, 0.000], [0.000, 0.500, 0.000], [0.009, 0.665, 0.647], [0.282, 0.491, 0.788], [0.335, 0.991, 0.353], [0.491, 0.282, 0.788], [0.500, 0.000, 0.000], [0.500, 0.500, 0.500], [0.509, 0.718, 0.212], [0.665, 0.009, 0.647], [0.718, 0.509, 0.212], [0.991, 0.335, 0.353], [0.000, 0.000, 0.500]],
  "ef_mev_per_atom": -41,
  "total_energy_ev_per_atom": -1.58,
  "total_magnetization_mub_per_cell": 0.000
}